A crystal of Hf6Ni16Ge7 relaxed with PBEsol. Source: the Alexandria database, functional SCAN.

Energy, eV per atom: -27.155
Space-group type: No. 225
DOS(E_F), states/eV/atom: 0.55

Cell: 8.0968 8.0968 8.0968 Å, 60.00 60.00 60.00°
Last column: nearest neighbours and their distance in Å.
Fractional coordinates of all 29 atoms:
Hf  0.2048  0.2048  0.7952  8 Ni 2.75-2.79, 4 Ge 2.91
Hf  0.2048  0.7952  0.2048  8 Ni 2.75-2.79, 4 Ge 2.91
Hf  0.2048  0.7952  0.7952  8 Ni 2.75-2.79, 4 Ge 2.91
Hf  0.7952  0.2048  0.2048  8 Ni 2.75-2.79, 4 Ge 2.91
Hf  0.7952  0.2048  0.7952  8 Ni 2.75-2.79, 4 Ge 2.91
Hf  0.7952  0.7952  0.2048  8 Ni 2.75-2.79, 4 Ge 2.91
Ni  0.1449  0.6184  0.6184  4 Ge 2.35-2.53, 3 Ni 2.57
Ni  0.1681  0.1681  0.1681  3 Ge 2.34, 3 Ni 2.57
Ni  0.1681  0.1681  0.4958  3 Ge 2.34, 3 Ni 2.57
Ni  0.1681  0.4958  0.1681  3 Ge 2.34, 3 Ni 2.57
Ni  0.3816  0.3816  0.3816  4 Ge 2.35-2.53, 3 Ni 2.57
Ni  0.3816  0.3816  0.8551  4 Ge 2.35-2.53, 3 Ni 2.57
Ni  0.3816  0.8551  0.3816  4 Ge 2.35-2.53, 3 Ni 2.57
Ni  0.4958  0.1681  0.1681  3 Ge 2.34, 3 Ni 2.57
Ni  0.5042  0.8319  0.8319  3 Ge 2.34, 3 Ni 2.57
Ni  0.6184  0.1449  0.6184  4 Ge 2.35-2.53, 3 Ni 2.57
Ni  0.6184  0.6184  0.1449  4 Ge 2.35-2.53, 3 Ni 2.57
Ni  0.6184  0.6184  0.6184  4 Ge 2.35-2.53, 3 Ni 2.57
Ni  0.8319  0.5042  0.8319  3 Ge 2.34, 3 Ni 2.57
Ni  0.8319  0.8319  0.5042  3 Ge 2.34, 3 Ni 2.57
Ni  0.8319  0.8319  0.8319  3 Ge 2.34, 3 Ni 2.57
Ni  0.8551  0.3816  0.3816  4 Ge 2.35-2.53, 3 Ni 2.57
Ge  0.0000  0.0000  0.5000  8 Ni 2.34-2.53
Ge  0.0000  0.5000  0.0000  8 Ni 2.34-2.53
Ge  0.0000  0.5000  0.5000  8 Ni 2.34-2.53
Ge  0.5000  0.0000  0.0000  8 Ni 2.34-2.53
Ge  0.5000  0.0000  0.5000  8 Ni 2.34-2.53
Ge  0.5000  0.5000  0.0000  8 Ni 2.34-2.53
Ge  0.5000  0.5000  0.5000  8 Ni 2.35